DFT (PBE-GGA) results for crystalline Mn3Sb5 at its relaxed geometry.

Summary:
Polymorph energy (0 for the lowest one): 0.0 meV per atom
Formation energy without anion corrections: 0.101 eV per atom
Density of states at the Fermi level: 4.7 states/eV/f.u.
Uncorrected energy: -5.91 eV/atom

a b c (Å): 6.318 6.878 9.046
angles (deg): 80.07 70.69 83.45
Space group P-1 (No. 2)
One atom of each set of equivalent atoms:
Mn 0.020 0.302 0.489
Mn 0.295 0.448 0.896
Mn 0.343 0.847 0.724
Sb 0.039 0.323 0.184
Sb 0.104 0.195 0.771
Sb 0.290 0.964 0.431
Sb 0.376 0.768 0.011
Sb 0.395 0.484 0.379

=====

DFT (PBE-GGA) results for crystalline AgAs2Pt at its relaxed geometry.

Summary:
Polymorph energy (0 for the lowest one): 207.5 meV per atom
Density of states at the Fermi level: 1.8 states/eV/f.u.
Uncorrected energy: -4.40 eV/atom
Energy relative to the elements: 150 meV per atom

a b c (Å): 4.039 4.039 8.619
angles (deg): 90.00 90.00 90.00
Space group I-4m2 (No. 119)
One atom of each set of equivalent atoms:
Ag 0.000 0.000 0.000
As 0.000 0.000 0.500
As 0.000 0.500 0.750
Pt 0.000 0.500 0.250

=====

DFT (PBE-GGA) results for crystalline BaNiRu2 at its relaxed geometry.

Summary:
Polymorph energy (0 for the lowest one): 336.6 meV per atom
Density of states at the Fermi level: 5.3 states/eV/f.u.
Uncorrected energy: -5.98 eV/atom
Energy relative to the elements: 583 meV per atom

a b c (Å): 2.971 4.084 6.775
angles (deg): 90.00 102.45 90.00
Space group Pm (No. 6)
One atom of each set of equivalent atoms:
Ba 0.000 0.000 0.000
Ni 0.653 0.500 0.308
Ru 0.308 0.500 0.622
Ru 0.748 0.000 0.503

=====

DFT (PBE-GGA) results for crystalline BeOs2 at its relaxed geometry.

Summary:
Density of states at the Fermi level: 2.8 states/eV/f.u.
Uncorrected energy: -8.61 eV/atom
Energy relative to the elements: 118 meV per atom

a b c (Å): 4.0271 4.0271 2.7065
angles (deg): 90.00 90.00 120.00
Space group P-3m1 (No. 164)
One atom of each set of equivalent atoms:
Be 0.0000 0.0000 0.0000
Os 0.3333 0.6667 0.7470

=====

DFT (PBE-GGA) results for crystalline TlZnH2S at its relaxed geometry.

Summary:
Density of states at the Fermi level: 0.9 states/eV/f.u.
Uncorrected energy: -2.58 eV/atom

a b c (Å): 3.701 3.701 6.151
angles (deg): 90.00 90.00 90.00
Space group P4/mmm (No. 123)
One atom of each set of equivalent atoms:
Tl 0.000 0.000 0.000
Zn 0.000 0.000 0.500
H 0.000 0.500 0.000
S 0.500 0.500 0.500

=====

DFT (PBE-GGA) results for crystalline NaBe2AgPd at its relaxed geometry.

Summary:
Density of states at the Fermi level: 2.2 states/eV/f.u.
Uncorrected energy: -2.69 eV/atom
Energy relative to the elements: 668 meV per atom

a b c (Å): 4.380 4.380 5.159
angles (deg): 90.00 90.00 90.00
Space group P4/mmm (No. 123)
One atom of each set of equivalent atoms:
Na 0.000 0.000 0.000
Be 0.000 0.500 0.500
Ag 0.500 0.500 0.500
Pd 0.500 0.500 0.000

=====

DFT (PBE-GGA) results for crystalline TiAgN2 at its relaxed geometry.

Summary:
Polymorph energy (0 for the lowest one): 0.0 meV per atom
Formation energy without anion corrections: -0.233 eV per atom
Density of states at the Fermi level: 5.7 states/eV/f.u.
Uncorrected energy: -7.08 eV/atom

a b c (Å): 3.0894 3.0894 18.5996
angles (deg): 90.00 90.00 120.00
Space group R-3m (No. 166, hexagonal axes)
One atom of each set of equivalent atoms:
Ti 0.0000 0.0000 0.0000
Ag 0.0000 0.0000 0.5000
N 0.0000 0.0000 0.3885

=====

DFT (PBE-GGA) results for crystalline ZnSnCl2 at its relaxed geometry.

Summary:
Formation energy without anion corrections: -0.217 eV per atom
Density of states at the Fermi level: 0.4 states/eV/f.u.
Uncorrected energy: -2.46 eV/atom

a b c (Å): 6.905 6.905 9.938
angles (deg): 90.00 90.00 90.00
Space group I-42d (No. 122)
One atom of each set of equivalent atoms:
Zn 0.000 0.000 0.000
Sn 0.000 0.000 0.500
Cl 0.139 0.250 0.125

=====

DFT (PBE-GGA) results for crystalline KGa2PbCl8 at its relaxed geometry.

Summary:
Formation energy without anion corrections: -1.145 eV per atom
Density of states at the Fermi level: 6.7 states/eV/f.u.
Uncorrected energy: -3.28 eV/atom

a b c (Å): 6.7536 6.7536 28.9364
angles (deg): 90.00 90.00 120.00
Space group R-3 (No. 148, hexagonal axes)
One atom of each set of equivalent atoms:
K 0.0000 0.0000 0.0000
Ga 0.0000 0.0000 0.2550
Pb 0.0000 0.0000 0.5000
Cl 0.0000 0.0000 0.3322
Cl 0.0029 0.3575 0.4379

=====

DFT (PBE-GGA) results for crystalline NdYNi4 at its relaxed geometry.

Summary:
Density of states at the Fermi level: 4.5 states/eV/f.u.
Uncorrected energy: -6.09 eV/atom
Energy relative to the elements: -362 meV per atom

a b c (Å): 7.255 7.255 7.255
angles (deg): 90.00 90.00 90.00
Space group F-43m (No. 216)
One atom of each set of equivalent atoms:
Nd 0.000 0.000 0.000
Y 0.250 0.250 0.250
Ni 0.124 0.124 0.624

=====

DFT (PBE-GGA) results for crystalline LaCd9Pd3 at its relaxed geometry.

Summary:
Density of states at the Fermi level: 7.5 states/eV/f.u.
Uncorrected energy: -2.53 eV/atom
Energy relative to the elements: -319 meV per atom

a b c (Å): 5.668 14.070 7.442
angles (deg): 90.00 112.10 90.00
Space group C2/m (No. 12)
One atom of each set of equivalent atoms:
La 0.000 0.000 0.000
Cd 0.000 0.000 0.500
Cd 0.102 0.389 0.213
Cd 0.175 0.175 0.337
Pd 0.000 0.500 0.500
Pd 0.250 0.250 0.000

=====

DFT (PBE-GGA) results for crystalline HoErBeNi at its relaxed geometry.

Summary:
Density of states at the Fermi level: 2.4 states/eV/f.u.
Uncorrected energy: -4.82 eV/atom
Energy relative to the elements: -162 meV per atom

a b c (Å): 6.734 6.734 6.734
angles (deg): 90.00 90.00 90.00
Space group F-43m (No. 216)
One atom of each set of equivalent atoms:
Ho 0.000 0.000 0.000
Er 0.000 0.000 0.500
Be 0.250 0.250 0.250
Ni 0.250 0.250 0.750

=====

DFT (PBE-GGA) results for crystalline Ca12Zn6Hg at its relaxed geometry.

Summary:
Density of states at the Fermi level: 18.6 states/eV/f.u.
Uncorrected energy: -1.87 eV/atom
Energy relative to the elements: -187 meV per atom

a b c (Å): 10.494 10.494 10.494
angles (deg): 90.00 90.00 90.00
Space group Im-3 (No. 204)
One atom of each set of equivalent atoms:
Ca 0.000 0.290 0.184
Zn 0.000 0.123 0.500
Hg 0.000 0.000 0.000

=====

DFT (PBE-GGA) results for crystalline NpHPd at its relaxed geometry.

Summary:
Density of states at the Fermi level: 5.6 states/eV/f.u.
Uncorrected energy: -7.28 eV/atom

a b c (Å): 3.092 3.092 9.080
angles (deg): 90.00 90.00 90.00
Space group P4/nmm (No. 129, origin choice 2)
One atom of each set of equivalent atoms:
Np 0.250 0.250 0.179
H 0.250 0.250 0.923
Pd 0.250 0.250 0.600

=====

DFT (PBE-GGA) results for crystalline InGaMo2Os at its relaxed geometry.

Summary:
Density of states at the Fermi level: 4.4 states/eV/f.u.
Uncorrected energy: -6.62 eV/atom
Energy relative to the elements: 1110 meV per atom

a b c (Å): 4.826 4.826 4.727
angles (deg): 90.00 90.00 90.00
Space group P4/mmm (No. 123)
One atom of each set of equivalent atoms:
In 0.000 0.000 0.000
Ga 0.500 0.500 0.000
Mo 0.000 0.500 0.500
Os 0.500 0.500 0.500

=====

DFT (PBE-GGA) results for crystalline Tm2VN at its relaxed geometry.

Summary:
Formation energy without anion corrections: -0.307 eV per atom
Density of states at the Fermi level: 4.3 states/eV/f.u.
Uncorrected energy: -6.90 eV/atom

a b c (Å): 3.2863 3.2863 25.2512
angles (deg): 90.00 90.00 120.00
Space group R-3m (No. 166, hexagonal axes)
One atom of each set of equivalent atoms:
Tm 0.0000 0.0000 0.1135
V 0.0000 0.0000 0.0000
N 0.0000 0.0000 0.5000

=====

DFT (PBE-GGA) results for crystalline SrMg2Tc at its relaxed geometry.

Summary:
Polymorph energy (0 for the lowest one): 62.9 meV per atom
Density of states at the Fermi level: 3.7 states/eV/f.u.
Uncorrected energy: -3.38 eV/atom
Energy relative to the elements: 425 meV per atom

a b c (Å): 3.186 3.853 7.879
angles (deg): 90.00 90.00 90.00
Space group Pmm2 (No. 25)
One atom of each set of equivalent atoms:
Sr 0.000 0.000 0.000
Mg 0.000 0.000 0.419
Mg 0.500 0.500 0.639
Tc 0.500 0.500 0.272

=====

DFT (PBE-GGA) results for crystalline MnNi2Te at its relaxed geometry.

Summary:
Formation energy without anion corrections: 0.059 eV per atom
Density of states at the Fermi level: 2.3 states/eV/f.u.
Uncorrected energy: -5.91 eV/atom

a b c (Å): 3.975 3.975 7.270
angles (deg): 90.00 90.00 90.00
Space group I4/mmm (No. 139)
One atom of each set of equivalent atoms:
Mn 0.000 0.000 0.000
Ni 0.000 0.500 0.250
Te 0.000 0.000 0.500

=====

DFT (PBE-GGA) results for crystalline SmLuGa4 at its relaxed geometry.

Summary:
Density of states at the Fermi level: 4.1 states/eV/f.u.
Uncorrected energy: -4.08 eV/atom
Energy relative to the elements: -522 meV per atom

a b c (Å): 7.804 7.804 7.804
angles (deg): 90.00 90.00 90.00
Space group F-43m (No. 216)
One atom of each set of equivalent atoms:
Sm 0.000 0.000 0.000
Lu 0.250 0.250 0.250
Ga 0.125 0.125 0.625

=====

DFT (PBE-GGA) results for crystalline SrLa2H8 at its relaxed geometry.

Summary:
Density of states at the Fermi level: 0.0 states/eV/f.u.
Uncorrected energy: -4.08 eV/atom

a b c (Å): 4.008 5.504 11.998
angles (deg): 90.00 90.00 90.00
Space group Immm (No. 71)
One atom of each set of equivalent atoms:
Sr 0.000 0.000 0.000
La 0.000 0.000 0.322
H 0.000 0.216 0.500
H 0.000 0.273 0.158
H 0.000 0.500 0.318

=====

DFT (PBE-GGA) results for crystalline B2P2S at its relaxed geometry.

Summary:
Polymorph energy (0 for the lowest one): 0.0 meV per atom
Formation energy without anion corrections: -0.152 eV per atom
Uncorrected energy: -5.81 eV/atom

a b c (Å): 6.378 7.165 3.304
angles (deg): 90.00 120.58 90.00
Space group Cm (No. 8)
One atom of each set of equivalent atoms:
B 0.000 0.224 0.000
P 0.356 0.160 0.353
S 0.335 0.500 0.955

=====

DFT (PBE-GGA) results for crystalline ScGaNi6 at its relaxed geometry.

Summary:
Polymorph energy (0 for the lowest one): 0.0 meV per atom
Density of states at the Fermi level: 8.4 states/eV/f.u.
Uncorrected energy: -5.85 eV/atom
Energy relative to the elements: -340 meV per atom

a b c (Å): 7.254 10.349 10.339
angles (deg): 90.00 90.00 90.00
Space group Cmmm (No. 65)
One atom of each set of equivalent atoms:
Sc 0.000 0.000 0.248
Sc 0.000 0.244 0.500
Ga 0.000 0.239 0.000
Ga 0.000 0.500 0.248
Ni 0.000 0.000 0.000
Ni 0.000 0.000 0.500
Ni 0.000 0.252 0.243
Ni 0.000 0.500 0.000
Ni 0.000 0.500 0.500
Ni 0.241 0.373 0.121
Ni 0.241 0.377 0.371

=====

DFT (PBE-GGA) results for crystalline KScGe2O6 at its relaxed geometry.

Summary:
Formation energy without anion corrections: -2.108 eV per atom
Density of states at the Fermi level: 0.0 states/eV/f.u.
Uncorrected energy: -6.75 eV/atom

a b c (Å): 10.422 11.006 5.418
angles (deg): 90.00 102.31 90.00
Space group C2/c (No. 15)
One atom of each set of equivalent atoms:
K 0.000 0.093 0.250
Sc 0.000 0.257 0.750
Ge 0.205 0.416 0.247
O 0.095 0.310 0.089
O 0.129 0.126 0.710
O 0.180 0.443 0.565

=====

DFT (PBE-GGA) results for crystalline PuScPa at its relaxed geometry.

Summary:
Polymorph energy (0 for the lowest one): 0.0 meV per atom
Density of states at the Fermi level: 7.1 states/eV/f.u.
Uncorrected energy: -10.01 eV/atom
Energy relative to the elements: 41 meV per atom

a b c (Å): 3.215 5.088 8.884
angles (deg): 90.00 90.00 90.00
Space group Pmmn (No. 59, origin choice 2)
One atom of each set of equivalent atoms:
Pu 0.250 0.250 0.227
Sc 0.250 0.750 0.434
Pa 0.250 0.250 0.906